# BaFe2As | Alexandria | PBE-GGA | optimized geometry
data_BaFe2As
_space_group_name_H-M_alt 'P 1 2/m 1'
_space_group_IT_number 10
_cell_length_a 4.631
_cell_length_b 4.272
_cell_length_c 5.153
_cell_angle_alpha 90.00
_cell_angle_beta 90.28
_cell_angle_gamma 90.00
loop_
_space_group_symop_operation_xyz
'x,y,z'
'-x,-y,-z'
'-x,y,-z'
'x,-y,z'
loop_
_atom_site_label
_atom_site_fract_x
_atom_site_fract_y
_atom_site_fract_z
_atom_site_occupancy
Ba1 0.000 0.000 0.000 1
Fe1 0.238 0.500 0.504 1
As1 0.500 0.000 0.500 1
# * energy of formation from the pure elements: 0.14 eV/atom
# * energy: -22.94 eV per cell